Entry 1:
12
Lattice="-1.264 0.933 6.212 -5.562 -2.338 2.457 0.681 -6.833 2.808" Properties=species:S:1:pos:R:3 comment="TcS2 | the Alexandria database | PBE | relaxed" polymorph_energy_ev_per_atom=0.000 pbc="T T T"
Tc -1.892 -3.622 5.287
Tc -4.253 -4.616 6.189
Tc -2.561 -3.319 8.013
Tc -3.583 -4.918 3.464
S -1.131 -2.329 3.343
S -5.013 -5.908 8.133
S -1.722 -1.626 6.567
S -4.422 -6.611 4.909
S -4.014 -2.909 4.597
S -2.131 -5.329 6.879
S -4.757 -2.720 7.615
S -1.387 -5.518 3.861



Entry 2:
Below is a relaxed Tc4S crystal, with properties calculated at the PBE level.

Structure (extended XYZ):
```
5
Lattice="4.314 0.000 0.000 0.000 4.314 0.000 0.000 0.000 4.314" Properties=species:S:1:pos:R:3 pbc="T T T"
S 2.157 2.157 2.157
Tc 0.000 0.000 0.000
Tc 2.157 0.000 2.157
Tc 0.000 2.157 2.157
Tc 2.157 2.157 0.000
```



Entry 3:
Below is a relaxed TcS4 crystal, with properties calculated at the PBE level.

Structure (extended XYZ):
```
5
Lattice="-2.196 -2.693 3.001 -2.347 -1.924 -3.445 3.278 -3.182 -0.457" Properties=species:S:1:pos:R:3 pbc="T T T"
S 0.000 0.000 0.000
S 0.541 -2.937 1.272
S 0.465 -2.553 -1.951
S -2.272 -2.309 -0.222
Tc -0.632 -3.900 -0.450
```



Entry 4:
10
Lattice="-5.433 -4.789 -0.386 4.799 -5.437 -0.111 -0.143 -0.224 4.798" Properties=species:S:1:pos:R:3 comment="TcTe2S2 | the Alexandria database | PBE | relaxed" polymorph_energy_ev_per_atom=0.402 pbc="T T T"
S 2.168 -5.404 2.218
S -0.565 -7.780 2.026
S -2.946 -5.045 2.083
S -0.212 -2.669 2.275
Te 2.184 -6.197 -0.224
Te -1.399 -7.611 -0.397
Te -2.818 -4.028 -0.272
Te 0.765 -2.615 -0.099
Tc 0.000 0.000 0.000
Tc -0.317 -5.113 -0.248



Entry 5:
5
Lattice="-3.563 -2.550 0.733 -0.510 -0.546 -4.379 2.604 -3.596 0.145" Properties=species:S:1:pos:R:3 comment="Tc3TeS | the Alexandria database | PBE | relaxed" polymorph_energy_ev_per_atom=0.000 pbc="T T T"
S 0.000 0.000 0.000
Te -0.734 -3.346 -1.750
Tc -0.255 -0.273 -2.189
Tc 1.302 -1.798 0.073
Tc -1.781 -1.275 0.367



Entry 6:
5
Lattice="-1.683 4.289 1.621 -1.107 -2.056 4.291 4.450 1.111 1.681" Properties=species:S:1:pos:R:3 comment="Tc3TeS | the Alexandria database | PBE | relaxed" polymorph_energy_ev_per_atom=1.483 pbc="T T T"
S 0.830 1.672 3.796
Te 0.000 0.000 0.000
Tc -0.554 -1.028 2.145
Tc 2.225 0.556 0.840
Tc -0.842 2.145 0.811



Entry 7:
5
Lattice="3.290 0.000 0.000 0.000 3.290 0.000 1.645 1.645 11.008" Properties=species:S:1:pos:R:3 comment="TcTe2S2 | the Alexandria database | PBE | relaxed" polymorph_energy_ev_per_atom=0.000 pbc="T T T"
S 3.290 1.645 5.504
S 1.645 3.290 5.504
Te 1.645 1.645 1.669
Te 3.290 3.290 9.339
Tc 0.000 0.000 0.000



Entry 8:
Below is a relaxed Th3TcTeS crystal, with properties calculated at the PBE level.

Structure (extended XYZ):
```
12
Lattice="4.280 0.000 0.000 0.000 7.579 0.596 0.000 -2.280 10.274" Properties=species:S:1:pos:R:3 pbc="T T T"
Th 1.070 4.638 4.787
Th 3.210 7.114 1.994
Th 3.210 3.441 1.736
Th 3.210 0.661 6.083
Th 1.070 1.858 9.134
Th 1.070 -1.815 8.876
Tc 1.070 5.442 1.406
Tc 3.210 -0.143 9.464
Te 3.210 3.655 7.203
Te 1.070 1.645 3.668
S 1.070 -1.002 6.282
S 3.210 6.301 4.588
```



Entry 9:
Below is a relaxed Th6Tc2Te3S crystal, with properties calculated at the PBE level.

Structure (extended XYZ):
```
12
Lattice="-1.408 6.944 1.710 -5.482 -4.758 -0.662 2.850 -2.425 7.069" Properties=species:S:1:pos:R:3 pbc="T T T"
Th -2.235 1.771 6.831
Th -4.364 1.073 2.202
Th -1.806 -2.009 1.287
Th -3.659 -2.320 6.002
Th 0.323 -1.311 5.916
Th -0.382 2.081 2.116
Tc -4.127 -0.864 0.128
Tc -2.764 3.050 0.921
Te -3.394 -4.064 3.259
Te -0.647 3.825 4.858
Te -2.021 -0.119 4.059
S 0.000 0.000 0.000
```



Entry 10:
Below is a relaxed Th8Tc3Te4S crystal, with properties calculated at the PBE level.

Structure (extended XYZ):
```
16
Lattice="8.437 0.000 0.000 0.000 9.024 0.404 -4.219 -4.212 5.971" Properties=species:S:1:pos:R:3 pbc="T T T"
Th -2.012 2.294 6.021
Th 0.000 4.303 3.174
Th 0.000 0.445 3.294
Th 2.012 2.294 6.021
Th 2.207 2.517 0.354
Th 4.219 4.367 3.081
Th 4.219 0.509 3.201
Th 6.230 2.517 0.354
Tc 4.219 4.512 0.202
Tc 2.109 2.406 3.188
Tc -2.109 2.406 3.188
Te 4.219 0.000 0.000
Te 2.109 -2.106 2.985
Te 0.000 0.000 0.000
Te -2.109 -2.106 2.985
S 0.000 4.512 0.202
```



Entry 11:
Below is a relaxed Th4TcTe2S crystal, with properties calculated at the PBE level.

Structure (extended XYZ):
```
8
Lattice="4.159 0.000 0.000 0.000 7.376 0.145 0.000 -2.566 7.441" Properties=species:S:1:pos:R:3 pbc="T T T"
Th 2.080 1.232 1.583
Th 2.080 3.578 6.003
Th 0.000 0.019 5.955
Th 0.000 4.790 1.631
Tc 2.080 3.688 0.072
Te 2.080 -1.283 3.721
Te 0.000 2.405 3.793
S 0.000 0.000 0.000
```



Entry 12:
Below is a relaxed TcTeWS2 crystal, with properties calculated at the PBE level.

Structure (extended XYZ):
```
5
Lattice="-0.868 -4.309 -1.050 4.478 -1.583 2.792 -2.485 -0.414 3.752" Properties=species:S:1:pos:R:3 pbc="T T T"
S -1.243 -0.207 1.876
S -0.434 -2.154 -0.525
Te 0.562 -3.153 2.747
Tc 2.239 -0.791 1.396
W 0.000 0.000 0.000
```



Number 1: ΔE_f (raw) -0.621 eV per atom. Number 2: ΔE_f (raw) 0.702 eV per atom. Number 3: ΔE_f (raw) 0.583 eV per atom. Number 4: ΔE_f (raw) 0.616 eV per atom. Number 5: ΔE_f (raw) 0.582 eV per atom. Number 6: ΔE_f (raw) 2.065 eV per atom. Number 7: ΔE_f (raw) 0.215 eV per atom. Number 8: ΔE_f (raw) -0.838 eV per atom. Number 9: ΔE_f (raw) -0.937 eV per atom. Number 10: ΔE_f (raw) -0.827 eV per atom. Number 11: ΔE_f (raw) -1.046 eV per atom. Number 12: ΔE_f (raw) 0.672 eV per atom.